1.
! AlTe2HN, relaxed, DFT PBE; values from VASP
&SYSTEM
  ibrav = 0, nat = 5, ntyp = 4
/
ATOMIC_SPECIES
Al 26.98 Al.upf
Te 127.60 Te.upf
H 1.01 H.upf
N 14.01 N.upf
CELL_PARAMETERS angstrom
-3.100 -0.226 -4.800
-2.291 -4.951 1.713
-2.524 1.704 1.550
ATOMIC_POSITIONS angstrom
Al 0.000 0.000 0.000
Te -1.550 -0.113 -2.400
Te -1.146 -2.476 0.857
H -3.957 -1.737 -0.769
N -1.262 0.852 0.775
! VASP energy: -3.58 eV per atom
! ΔE to the lowest computed polymorph: 0 meV per atom


2.
! AlTeHN2, relaxed, DFT PBE; values from VASP
&SYSTEM
  ibrav = 0, nat = 5, ntyp = 4
/
ATOMIC_SPECIES
H 1.01 H.upf
N 14.01 N.upf
Al 26.98 Al.upf
Te 127.60 Te.upf
CELL_PARAMETERS angstrom
3.592 0.000 0.000
0.000 3.592 0.000
0.000 0.000 6.053
ATOMIC_POSITIONS angstrom
H 1.796 1.796 3.026
N 1.796 0.000 0.000
N 0.000 1.796 0.000
Al 0.000 0.000 0.000
Te 0.000 0.000 3.026
! VASP energy: -4.33 eV per atom
! ΔE to the lowest computed polymorph: 0 meV per atom


3.
! ZrAlH2N, relaxed, DFT PBE; values from VASP
&SYSTEM
  ibrav = 0, nat = 5, ntyp = 4
/
ATOMIC_SPECIES
Al 26.98 Al.upf
H 1.01 H.upf
N 14.01 N.upf
Zr 91.22 Zr.upf
CELL_PARAMETERS angstrom
-0.340 3.094 -0.769
-1.076 -1.586 -5.899
-3.139 -0.190 0.624
ATOMIC_POSITIONS angstrom
Al 0.000 0.000 0.000
H -1.569 -0.095 0.312
H -0.170 1.547 -0.385
N -2.278 0.659 -3.022
Zr -0.538 -0.793 -2.950
! VASP energy: -5.64 eV per atom


4.
! Na3AlH6, relaxed, DFT PBE; values from VASP
&SYSTEM
  ibrav = 0, nat = 20, ntyp = 3
/
ATOMIC_SPECIES
H 1.01 H.upf
Na 22.99 Na.upf
Al 26.98 Al.upf
CELL_PARAMETERS angstrom
-2.819 -5.105 2.112
2.116 -3.218 -4.861
5.093 -1.530 3.190
ATOMIC_POSITIONS angstrom
H 1.551 -4.504 -3.789
H 3.266 -5.473 1.515
H -1.132 -5.416 2.537
H 1.125 -4.380 -1.074
H 1.125 -4.266 1.461
H 2.840 -5.349 4.231
H -0.786 -7.216 -1.374
H 5.523 -4.437 -2.095
H 5.177 -2.637 1.815
H 3.132 -3.430 0.154
H 1.259 -6.423 0.288
H 3.266 -5.587 -1.020
Na 0.948 -6.362 2.586
Na 3.443 -3.491 -2.145
Na 2.841 -3.536 2.840
Na 5.187 -4.563 0.585
Na 1.550 -6.318 -2.399
Na -0.796 -5.290 -0.144
Al 2.195 -4.927 0.221
Al 0.000 0.000 0.000
! VASP energy: -2.96 eV per atom


5.
! Na3Al5H12, relaxed, DFT PBE; values from VASP
&SYSTEM
  ibrav = 0, nat = 80, ntyp = 3
/
ATOMIC_SPECIES
Al 26.98 Al.upf
H 1.01 H.upf
Na 22.99 Na.upf
CELL_PARAMETERS angstrom
-5.205 -9.200 -1.560
1.637 1.437 10.460
-5.834 8.088 -3.836
ATOMIC_POSITIONS angstrom
Al -5.069 -2.969 3.929
Al -2.099 4.762 3.312
Al -7.130 2.405 3.514
Al -5.520 -0.556 -2.698
Al -3.280 -2.471 7.219
Al 0.000 0.000 0.000
Al -2.272 -2.080 1.551
Al -1.611 2.961 6.212
Al 0.818 0.718 5.230
Al -6.123 2.796 -2.154
Al -7.792 -2.636 -1.147
Al -1.495 1.411 2.769
Al -0.598 -0.032 8.283
Al -2.603 -4.600 -0.780
Al -4.334 3.294 1.135
Al -8.804 0.357 -3.219
Al -2.917 4.044 -1.918
Al -4.701 0.163 2.532
Al -7.907 -1.086 2.296
Al -1.784 -3.881 4.450
H -6.568 6.493 -3.025
H -8.178 -3.382 -2.709
H -6.332 -6.059 1.346
H -3.070 6.384 3.718
H -0.343 -0.119 6.530
H -2.406 4.091 5.099
H -5.488 1.406 6.821
H -4.162 7.113 1.016
H -8.924 -0.091 1.237
H -2.777 1.633 6.365
H -3.101 3.304 -0.141
H 0.335 1.274 9.040
H -4.271 -4.060 -1.596
H -3.460 -6.126 0.041
H -5.943 6.452 5.023
H -2.974 -3.513 0.776
H -5.132 4.385 6.661
H -3.716 3.912 2.679
H -5.871 1.169 3.698
H -3.147 1.027 3.291
H -5.687 -3.587 2.386
H -5.515 1.164 -1.814
H -9.060 0.444 -1.466
H -3.888 -0.839 6.879
H -3.532 -0.844 1.367
H -6.625 -1.308 -1.301
H -1.848 -2.367 3.249
H -1.225 3.707 7.774
H -1.230 1.060 1.050
H -4.560 -3.697 7.155
H -5.241 -6.788 4.049
H -6.256 -0.702 1.774
H -8.173 -0.735 4.014
H -7.365 3.048 -0.913
H -2.038 -2.723 5.978
H -6.301 -2.979 5.205
H -4.820 1.591 1.234
H -4.843 4.022 -2.091
H -3.705 -4.043 4.296
H -2.834 -6.168 8.090
H -0.478 0.416 3.828
H -6.429 3.838 4.289
H -4.582 -1.266 3.831
H -6.997 -3.766 -0.035
H -5.697 4.368 0.769
H -7.554 2.692 1.815
H -3.914 -1.081 -1.756
H -9.738 -0.949 -3.975
Na -7.015 0.855 0.071
Na -4.020 -5.350 2.273
Na -5.809 -5.848 -1.016
Na -5.383 5.675 2.791
Na -4.371 2.683 4.863
Na -4.056 -5.961 6.001
Na -6.118 -0.588 5.585
Na -5.032 -2.358 0.202
Na -3.594 6.173 6.081
Na -3.284 0.913 -0.521
Na -2.388 -0.530 4.994
Na -5.346 6.286 -0.937
! VASP energy: -2.98 eV per atom


6.
! NaAlH2, relaxed, DFT PBE; values from VASP
&SYSTEM
  ibrav = 0, nat = 16, ntyp = 3
/
ATOMIC_SPECIES
H 1.01 H.upf
Na 22.99 Na.upf
Al 26.98 Al.upf
CELL_PARAMETERS angstrom
6.105 0.000 0.000
0.000 8.271 0.000
-4.052 0.000 4.717
ATOMIC_POSITIONS angstrom
H 3.103 4.631 0.209
H -3.127 1.893 4.691
H -1.975 3.640 2.567
H 1.952 6.378 2.333
H -1.100 6.028 2.333
H -0.074 2.243 4.691
H 0.051 7.776 0.209
H 1.077 0.495 2.567
Na -2.855 5.377 3.959
Na 2.223 2.894 1.601
Na -0.829 1.241 1.601
Na 0.197 7.030 3.959
Al -2.656 0.345 4.307
Al -0.630 4.480 1.949
Al 0.397 3.790 4.307
Al 2.423 7.926 1.949
! VASP energy: -2.96 eV per atom
! ΔE to the lowest computed polymorph: 85 meV per atom


7.
! NaAlH2, relaxed, DFT PBE; values from VASP
&SYSTEM
  ibrav = 0, nat = 16, ntyp = 3
/
ATOMIC_SPECIES
Na 22.99 Na.upf
H 1.01 H.upf
Al 26.98 Al.upf
CELL_PARAMETERS angstrom
5.813 0.000 0.001
0.000 4.530 0.000
-3.648 0.000 9.549
ATOMIC_POSITIONS angstrom
Na -0.895 2.265 5.809
Na 2.467 0.000 6.243
Na 0.930 0.000 1.035
Na 4.291 2.265 1.468
H 0.199 2.265 0.017
H -1.100 0.000 7.104
H 0.724 2.265 2.330
H 4.593 0.000 2.255
H 3.011 0.000 0.152
H 2.769 2.265 7.029
H 1.187 2.265 4.926
H -1.625 0.000 4.792
Al 1.953 2.265 3.446
Al 0.129 0.000 8.220
Al 1.498 2.265 8.127
Al 3.322 0.000 3.353
! VASP energy: -3.02 eV per atom
! ΔE to the lowest computed polymorph: 26 meV per atom


8.
! NaAl2H, relaxed, DFT PBE; values from VASP
&SYSTEM
  ibrav = 0, nat = 8, ntyp = 3
/
ATOMIC_SPECIES
Na 22.99 Na.upf
Al 26.98 Al.upf
H 1.01 H.upf
CELL_PARAMETERS angstrom
-2.233 3.744 -4.009
-4.327 -3.863 -1.198
-5.632 1.669 0.320
ATOMIC_POSITIONS angstrom
Na -5.572 2.677 -3.146
Na 0.000 0.000 0.000
Al -2.787 1.339 -1.574
Al -8.883 2.112 -4.017
Al -4.949 -0.594 -2.171
Al -7.764 0.242 -2.012
H -3.280 -0.059 -2.603
H -6.619 -1.127 -1.741
! VASP energy: -2.73 eV per atom
! ΔE to the lowest computed polymorph: 0 meV per atom